A relaxed LiTaZn2N4 crystal, computed with PBE.

Cell: 4.242 6.154 7.263 Å, 90.00 90.00 90.00°
Positions (direct):
Li1 0.937 0.179 0.500
Li2 0.437 0.821 0.000
Ta1 0.437 0.830 0.500
Ta2 0.937 0.170 0.000
Zn1 0.438 0.332 0.269
Zn2 0.438 0.332 0.731
Zn3 0.938 0.668 0.769
Zn4 0.938 0.668 0.231
N1 0.438 0.181 0.000
N2 0.938 0.819 0.500
N3 0.437 0.150 0.500
N4 0.937 0.850 0.000
N5 0.437 0.666 0.736
N6 0.937 0.334 0.236
N7 0.937 0.334 0.764
N8 0.437 0.666 0.264

Properties
Uncorrected formation energy, meV per atom: -192.5
Space-group type: No. 59



A relaxed Al2CuW crystal, computed with PBE.

Cell: 4.364 4.364 4.364 Å, 60.00 60.00 60.00°
Each line ends with the local moment (μB).
Positions (direct):
Cu1 0.500 0.500 0.500  0.01
W1 0.750 0.750 0.750  0.53
Al1 0.000 0.000 0.000  0.01
Al2 0.250 0.250 0.250  -0.01

Properties
Relative energy among the computed polymorphs, meV/atom: 410.1
Space-group type: No. 216
ΔH_f (0 K), meV/atom: 321



A relaxed SrNiSe2Br crystal, computed with PBE.

Cell: 5.912 5.912 5.749 Å, 90.00 90.00 90.00°
Each line ends with the local moment (μB).
Positions (direct):
Sr1 0.000 0.000 0.000  0.00
Se1 0.000 0.500 0.000  0.57
Se2 0.500 0.000 0.000  0.57
Br1 0.000 0.000 0.500  0.09
Ni1 0.500 0.500 0.500  1.01

Properties
Relative energy among the computed polymorphs, meV/atom: 1191.4
Uncorrected formation energy, meV per atom: 375.6
Space-group type: No. 123



A relaxed Nd12HoSc3 crystal, computed with PBE.

Cell: 5.076 5.076 20.289 Å, 90.00 90.00 90.00°
Positions (direct):
Nd1 0.500 0.500 0.000
Nd2 0.500 0.500 0.252
Nd3 0.500 0.500 0.500
Nd4 0.500 0.500 0.748
Nd5 0.500 0.000 0.128
Nd6 0.500 0.000 0.376
Nd7 0.500 0.000 0.624
Nd8 0.500 0.000 0.872
Nd9 0.000 0.500 0.128
Nd10 0.000 0.500 0.376
Nd11 0.000 0.500 0.624
Nd12 0.000 0.500 0.872
Ho1 0.000 0.000 0.000
Sc1 0.000 0.000 0.252
Sc2 0.000 0.000 0.500
Sc3 0.000 0.000 0.748

Properties
Space-group type: No. 123
ΔH_f (0 K), meV/atom: 32



A relaxed AcCdOs2O8 crystal, computed with PBE.

Cell: 6.483 6.483 7.839 Å, 90.00 90.00 120.00°
Each line ends with the local moment (μB).
Positions (direct):
Ac1 0.000 0.000 0.500  0.05
Cd1 0.000 0.000 0.000  -0.02
Os1 0.667 0.333 0.242  0.83
Os2 0.333 0.667 0.758  0.83
O1 0.333 0.667 0.981  0.15
O2 0.366 0.184 0.322  0.11
O3 0.816 0.182 0.322  0.11
O4 0.667 0.333 0.019  0.15
O5 0.184 0.818 0.678  0.11
O6 0.634 0.816 0.678  0.11
O7 0.182 0.366 0.678  0.11
O8 0.818 0.634 0.322  0.11

Properties
Uncorrected formation energy, meV per atom: -1289.3
Space-group type: No. 147



A relaxed Ba2NbHg crystal, computed with PBE.

Cell: 9.211 9.211 7.345 Å, 51.17 51.17 90.00°
Each line ends with the local moment (μB).
Positions (direct):
Nb1 0.500 0.500 0.000  2.43
Nb2 0.250 0.750 0.500  2.43
Hg1 0.000 0.000 0.000  -0.01
Hg2 0.750 0.250 0.500  -0.01
Ba1 0.626 0.125 0.250  0.02
Ba2 0.124 0.625 0.250  0.03
Ba3 0.375 0.374 0.750  0.02
Ba4 0.875 0.876 0.750  0.02

Properties
Space-group type: No. 122
ΔH_f (0 K), meV/atom: 709



A relaxed Cs2CuHgBi crystal, computed with PBE.

Cell: 7.004 7.004 4.969 Å, 90.00 90.00 90.00°
Positions (direct):
Cs1 0.000 0.500 0.000
Cs2 0.500 0.000 0.000
Bi1 0.000 0.000 0.500
Cu1 0.000 0.000 0.000
Hg1 0.500 0.500 0.500

Properties
Space-group type: No. 123
ΔH_f (0 K), meV/atom: -90



A relaxed CaEuHg4 crystal, computed with PBE.

Cell: 6.105 6.105 6.105 Å, 60.00 60.00 60.00°
Each line ends with the local moment (μB).
Positions (direct):
Eu1 0.000 0.000 0.000  6.88
Ca1 0.250 0.250 0.250  0.02
Hg1 0.625 0.625 0.125  0.01
Hg2 0.625 0.125 0.625  0.01
Hg3 0.625 0.625 0.625  0.01
Hg4 0.125 0.625 0.625  0.01

Properties
Space-group type: No. 216
ΔH_f (0 K), meV/atom: -322



A relaxed EuCoH2 crystal, computed with PBE.

Cell: 3.473 3.473 4.786 Å, 68.73 68.73 60.00°
Each line ends with the local moment (μB).
Positions (direct):
Eu1 0.000 0.000 0.000  6.85
H1 0.789 0.789 0.634  -0.02
H2 0.211 0.211 0.366  -0.02
Co1 0.500 0.500 0.500  -1.38

Properties
Space-group type: No. 166
E_tot, eV per atom: -5.882



A relaxed AcEuGd crystal, computed with PBE.

Cell: 3.836 3.836 8.453 Å, 103.12 103.12 90.00°
Each line ends with the local moment (μB).
Positions (direct):
Eu1 0.610 0.610 0.221  6.97
Ac1 0.290 0.290 0.581  -0.04
Gd1 0.949 0.949 0.899  7.25

Properties
Space-group type: No. 107
ΔH_f (0 K), meV/atom: 42



A relaxed NaLi2Br2 crystal, computed with PBE.

Cell: 4.312 4.312 10.609 Å, 78.28 78.28 90.00°
Positions (direct):
Na1 0.000 0.000 0.000
Br1 0.315 0.315 0.370
Br2 0.685 0.685 0.630
Li1 0.750 0.250 0.500
Li2 0.250 0.750 0.500

Properties
Uncorrected formation energy, meV per atom: -1087.3
Space-group type: No. 139



A relaxed Ce4AgPb crystal, computed with PBE.

Cell: 5.144 6.201 6.201 Å, 100.03 65.34 65.34°
Each line ends with the local moment (μB).
Positions (direct):
Ce1 0.746 0.562 0.915  0.45
Ce2 0.746 0.915 0.562  0.45
Ce3 0.254 0.438 0.085  0.45
Ce4 0.254 0.085 0.438  0.45
Ag1 0.500 0.500 0.500  0.01
Pb1 0.000 0.000 0.000  -0.01

Properties
Space-group type: No. 12
ΔH_f (0 K), meV/atom: -110



> Which formula does entry 8 have?

CaEuHg4



What did the twelfth record say?
A relaxed Ce4AgPb crystal, computed with PBE.

Cell: 5.144 6.201 6.201 Å, 100.03 65.34 65.34°
Each line ends with the local moment (μB).
Positions (direct):
Ce1 0.746 0.562 0.915  0.45
Ce2 0.746 0.915 0.562  0.45
Ce3 0.254 0.438 0.085  0.45
Ce4 0.254 0.085 0.438  0.45
Ag1 0.500 0.500 0.500  0.01
Pb1 0.000 0.000 0.000  -0.01

Properties
Space-group type: No. 12
ΔH_f (0 K), meV/atom: -110